[1]
A plane-wave DFT calculation with GGA-PBEsol was carried out for a relaxed CoAs crystal.

Computed properties:
As for the space group: Cm. The energy relative to the elements is -0.1854 eV/atom.

Cell and atoms, written as POSCAR:
```
CoAs
1.0
3.242 0.000 0.000
-1.621 3.909 -0.107
0.000 -2.016 6.307
Co As
3 3
direct
0.715 0.430 0.274
0.745 0.489 0.894
0.955 0.910 0.649
0.243 0.486 0.640
0.066 0.131 0.024
0.443 0.887 0.353
```

=====

[2]
A plane-wave DFT calculation with GGA-PBEsol was carried out for a relaxed TlWCl2 crystal.

Computed properties:
As for the space group: Pmm2. The value obtained for the formation energy without anion corrections is 112.2 kJ/mol of formula units.

Cell and atoms, written as POSCAR:
```
TlWCl2
1.0
2.944 0.000 0.000
0.000 3.938 0.000
0.000 0.000 7.082
Tl Cl W
1 2 1
direct
0.000 0.000 0.516
0.000 0.000 0.940
0.500 0.500 0.187
0.500 0.500 0.857
```

=====

[3]
A plane-wave DFT calculation with GGA-PBEsol was carried out for a relaxed In2BrCl crystal.

Computed properties:
As for the space group: P2/m. The value obtained for the formation energy without anion corrections is -247.9 kJ/mol of formula units.

Cell and atoms, written as POSCAR:
```
In2BrCl
1.0
3.798 0.000 0.000
0.000 3.802 0.094
0.000 -0.259 7.542
In Br Cl
2 1 1
direct
0.000 0.028 0.761
0.000 0.972 0.239
0.500 0.500 0.500
0.500 0.500 0.000
```

=====

[4]
A plane-wave DFT calculation with GGA-PBEsol was carried out for a relaxed CsCoOs2N crystal.

Computed properties:
As for the space group: P4/mmm. The value obtained for the formation energy without anion corrections is 1295.6 kJ/mol of formula units.

Cell and atoms, written as POSCAR:
```
CsCoOs2N
1.0
4.351 0.000 0.000
0.000 4.351 0.000
0.000 0.000 6.758
Cs Co N Os
1 1 1 2
direct
0.000 0.000 0.500
0.000 0.000 0.000
0.500 0.500 0.500
0.000 0.500 0.000
0.500 0.000 0.000
```

=====

[5]
A plane-wave DFT calculation with GGA-PBEsol was carried out for a relaxed ZnSn3Pd crystal.

Computed properties:
As for the space group: Pm-3m. The energy relative to the elements is 0.5771 eV/atom.

Cell and atoms, written as POSCAR:
```
ZnSn3Pd
1.0
5.019 0.000 0.000
0.000 5.019 0.000
0.000 0.000 5.019
Sn Zn Pd
3 1 1
direct
0.000 0.000 0.500
0.000 0.500 0.000
0.500 0.000 0.000
0.000 0.000 0.000
0.500 0.500 0.500
```

=====

[6]
A plane-wave DFT calculation with GGA-PBEsol was carried out for a relaxed CuB3F crystal.

Computed properties:
As for the space group: Pm-3m. The value obtained for the formation energy without anion corrections is 937.1 kJ/mol of formula units.

Cell and atoms, written as POSCAR:
```
CuB3F
1.0
-3.677 0.410 -0.160
0.029 -1.114 -3.531
-0.439 -3.507 1.103
Cu B F
1 3 1
direct
0.500 0.500 0.500
0.000 0.500 0.000
0.000 0.000 0.500
0.500 0.000 0.000
0.000 0.000 0.000
```

=====

[7]
A plane-wave DFT calculation with GGA-PBEsol was carried out for a relaxed MnAu2 crystal.

Computed properties:
As for the space group: Pnma. The energy relative to the elements is 0.0330 eV/atom.

Cell and atoms, written as POSCAR:
```
MnAu2
1.0
4.064 0.000 0.000
0.000 5.658 0.000
0.000 0.000 8.377
Au Mn
8 4
direct
0.250 0.596 0.264
0.750 0.850 0.425
0.750 0.904 0.764
0.750 0.404 0.736
0.750 0.350 0.075
0.250 0.650 0.925
0.250 0.150 0.575
0.250 0.096 0.236
0.750 0.351 0.409
0.250 0.149 0.909
0.250 0.649 0.591
0.750 0.851 0.091
```

=====

[8]
A plane-wave DFT calculation with GGA-PBEsol was carried out for a relaxed YInSiNi2 crystal.

Computed properties:
As for the space group: P4/mmm. The value obtained for the formation energy without anion corrections is 565.5 kJ/mol of formula units.

Cell and atoms, written as POSCAR:
```
YInSiNi2
1.0
4.626 0.000 0.000
0.000 4.626 0.000
0.000 0.000 5.257
Y Si In Ni
1 1 1 2
direct
0.000 0.000 0.000
0.000 0.000 0.500
0.500 0.500 0.500
0.500 0.000 0.000
0.000 0.500 0.000
```

=====

[9]
A plane-wave DFT calculation with GGA-PBEsol was carried out for a relaxed KC2 crystal.

Computed properties:
As for the space group: Fd-3m. The energy relative to the elements is 2.8609 eV/atom.

Cell and atoms, written as POSCAR:
```
KC2
1.0
4.603 0.000 0.000
2.302 3.986 0.000
2.302 1.329 3.758
C K
4 2
direct
0.125 0.125 0.625
0.125 0.125 0.125
0.125 0.625 0.125
0.625 0.125 0.125
0.750 0.750 0.750
0.500 0.500 0.500
```

=====

[10]
A plane-wave DFT calculation with GGA-PBEsol was carried out for a relaxed Sr2MgHgS crystal.

Computed properties:
As for the space group: P4/mmm. The value obtained for the formation energy without anion corrections is -60.2 kJ/mol of formula units.

Cell and atoms, written as POSCAR:
```
Sr2MgHgS
1.0
4.591 0.000 0.000
0.000 6.323 0.000
0.000 0.000 6.323
Hg Mg Sr S
1 1 2 1
direct
0.500 0.500 0.500
0.000 0.000 0.000
0.000 0.000 0.500
0.000 0.500 0.000
0.500 0.000 0.000
```

=====

[11]
A plane-wave DFT calculation with GGA-PBEsol was carried out for a relaxed BeTlZn crystal.

Computed properties:
As for the space group: Imm2. The energy relative to the elements is 0.4811 eV/atom.

Cell and atoms, written as POSCAR:
```
BeTlZn
1.0
-3.302 0.194 1.587
1.587 -0.532 3.369
1.260 3.835 -2.089
Zn Be Tl
1 1 1
direct
0.323 0.323 0.645
0.006 0.006 0.013
0.671 0.671 0.342
```

=====

[12]
A plane-wave DFT calculation with GGA-PBEsol was carried out for a relaxed Sr3TlFe crystal.

Computed properties:
As for the space group: Pm-3m. The energy relative to the elements is 0.7407 eV/atom.

Cell and atoms, written as POSCAR:
```
Sr3TlFe
1.0
-4.947 3.554 1.126
-3.366 -5.063 1.188
1.602 0.337 5.974
Sr Fe Tl
3 1 1
direct
0.000 0.000 0.500
0.000 0.500 0.000
0.500 0.000 0.000
0.500 0.500 0.500
0.000 0.000 0.000
```

=====

Number 1: electronic total energy -0.243 Ha/atom. Number 2: electronic total energy -0.177 Ha/atom. Number 3: electronic total energy -0.114 Ha/atom. Number 4: electronic total energy -0.207 Ha/atom. Number 5: electronic total energy -0.128 Ha/atom. Number 6: electronic total energy -0.129 Ha/atom. Number 7: electronic total energy -0.214 Ha/atom. Number 8: electronic total energy -0.162 Ha/atom. Number 9: electronic total energy -0.145 Ha/atom. Number 10: electronic total energy -0.081 Ha/atom. Number 11: electronic total energy -0.083 Ha/atom. Number 12: electronic total energy -0.099 Ha/atom.